(1)
The following is a DFT calculation (PBE-GGA) of an optimized crystal structure of K3Y3RhO8.

## Properties
Fermi-level density of states   0.493 states/eV/atom
SG   No. 166
Raw formation energy   -2.324 eV per atom

a b c (Å): 6.7739 6.7745 7.3966
angles (deg): 117.26 90.00 120.00
With the nearest neighbours (Å) after each atom.
Sites, in units of the cell vectors:
O  0.2118  0.4237  0.6749  1 Rh 2.11, 2 Y 2.31
O  0.2118  0.9631  0.6749  1 Rh 2.11, 2 Y 2.31
O  0.7882  0.0369  0.3251  1 Rh 2.11, 2 Y 2.31
O  0.7514  0.9631  0.6749  1 Rh 2.11, 2 Y 2.31
O  0.2486  0.0369  0.3251  1 Rh 2.11, 2 Y 2.31
O  0.7279  0.4557  0.6836  3 Y 2.27
O  0.7882  0.5763  0.3251  1 Rh 2.11, 2 Y 2.31
O  0.2721  0.5443  0.3164  3 Y 2.27
Y  0.5000  0.5000  0.5000  6 O 2.27-2.31
Y  0.0000  0.5000  0.5000  6 O 2.27-2.31
Y  0.5000  0.0000  0.5000  6 O 2.27-2.31
K  0.5000  0.5000  0.0000  6 O 2.78-2.79
K  0.0000  0.0000  0.0000  6 O 2.78-2.79
K  0.0000  0.5000  0.0000  6 O 2.78-2.79
Rh  0.0000  0.0000  0.5000  6 O 2.11

---

(2)
The following is a DFT calculation (PBE-GGA) of an optimized crystal structure of K2ZnRh2O6.

## Properties
Fermi-level density of states   0.764 states/eV/atom
SG   No. 12
Raw formation energy   -1.082 eV per atom

a b c (Å): 5.4664 5.4664 6.3197
angles (deg): 97.74 97.74 120.56
With the nearest neighbours (Å) after each atom.
Sites, in units of the cell vectors:
K  0.8371  0.1629  0.0000  6 O 2.70-2.75
K  0.1629  0.8371  0.0000  6 O 2.70-2.75
Zn  0.0000  0.0000  0.5000  6 O 2.15-2.17
O  0.7036  0.7036  0.6681  2 Rh 2.04, 1 Zn 2.15
O  0.4027  0.0502  0.6662  2 Rh 2.04, 1 Zn 2.17
O  0.9498  0.5973  0.3338  2 Rh 2.04, 1 Zn 2.17
O  0.2964  0.2964  0.3319  2 Rh 2.04, 1 Zn 2.15
O  0.0502  0.4027  0.6662  2 Rh 2.04, 1 Zn 2.17
O  0.5973  0.9498  0.3338  2 Rh 2.04, 1 Zn 2.17
Rh  0.6654  0.3346  0.5000  6 O 2.04
Rh  0.3346  0.6654  0.5000  6 O 2.04

---

(3)
The following is a DFT calculation (PBE-GGA) of an optimized crystal structure of K3Zn2RhO6.

## Properties
Fermi-level density of states   0.291 states/eV/atom
SG   No. 12
Raw formation energy   -1.158 eV per atom

a b c (Å): 5.5709 5.5709 6.2288
angles (deg): 98.51 98.51 120.07
With the nearest neighbours (Å) after each atom.
Sites, in units of the cell vectors:
K  0.1713  0.8287  0.5000  6 O 2.64-2.73
K  0.5000  0.5000  0.5000  6 O 2.64-2.75
K  0.8287  0.1713  0.5000  6 O 2.64-2.73
O  0.3713  0.0597  0.1758  1 Rh 2.03, 2 Zn 2.18-2.19
O  0.9403  0.6287  0.8242  1 Rh 2.03, 2 Zn 2.18-2.19
O  0.2518  0.2518  0.8210  1 Rh 2.03, 2 Zn 2.19
O  0.0597  0.3713  0.1758  1 Rh 2.03, 2 Zn 2.18-2.19
O  0.7482  0.7482  0.1790  1 Rh 2.03, 2 Zn 2.19
O  0.6287  0.9403  0.8242  1 Rh 2.03, 2 Zn 2.18-2.19
Zn  0.3338  0.6662  0.0000  6 O 2.18-2.19
Zn  0.6662  0.3338  0.0000  6 O 2.18-2.19
Rh  0.0000  0.0000  0.0000  6 O 2.03

---

(4)
The following is a DFT calculation (PBE-GGA) of an optimized crystal structure of K2ZnRhO4.

## Properties
Fermi-level density of states   0.601 states/eV/atom
SG   No. 70
Raw formation energy   -0.965 eV per atom

a b c (Å): 5.7869 6.7472 9.5311
angles (deg): 82.52 72.33 64.61
With the nearest neighbours (Å) after each atom.
Sites, in units of the cell vectors:
K  0.9318  0.5000  0.1364  4 O 2.80-3.09
K  0.5682  0.5000  0.8636  4 O 2.80-3.09
K  0.8182  0.0000  0.3636  4 O 2.80-3.09
K  0.1818  0.0000  0.6364  4 O 2.80-3.09
O  0.1926  0.1785  0.9157  1 Rh 1.92, 1 Zn 2.01
O  0.8917  0.8215  0.9157  1 Rh 1.92, 1 Zn 2.01
O  0.4632  0.6785  0.4157  1 Rh 1.92, 1 Zn 2.01
O  0.8583  0.6785  0.5843  1 Rh 1.92, 1 Zn 2.01
O  0.6289  0.1785  0.0843  1 Rh 1.92, 1 Zn 2.01
O  0.5574  0.3215  0.5843  1 Rh 1.92, 1 Zn 2.01
O  0.1211  0.3215  0.4157  1 Rh 1.92, 1 Zn 2.01
O  0.2868  0.8215  0.0843  1 Rh 1.92, 1 Zn 2.01
Zn  0.5000  0.0000  0.0000  4 O 2.01
Zn  0.2500  0.5000  0.5000  4 O 2.01
Rh  0.0000  0.0000  0.0000  4 O 1.92
Rh  0.7500  0.5000  0.5000  4 O 1.92

---

(5)
The following is a DFT calculation (PBE-GGA) of an optimized crystal structure of KZrRhO4.

## Properties
SG   No. 74
Raw formation energy   -1.891 eV per atom

a b c (Å): 6.9141 6.5290 6.7344
angles (deg): 121.05 90.00 121.97
With the nearest neighbours (Å) after each atom.
Sites, in units of the cell vectors:
O  0.2983  0.9796  0.7398  2 Zr 2.14, 1 Rh 2.15, 1 K 2.39
O  0.7017  0.0204  0.2602  2 Zr 2.14, 1 Rh 2.15, 1 K 2.39
O  0.3186  0.0204  0.2602  2 Zr 2.14, 1 Rh 2.15, 1 K 2.39
O  0.6814  0.9796  0.7398  2 Zr 2.14, 1 Rh 2.15, 1 K 2.39
O  0.2606  0.5212  0.3225  2 Rh 2.14, 1 Zr 2.15
O  0.7394  0.4788  0.3014  2 Rh 2.14, 1 Zr 2.15
O  0.7394  0.4788  0.6775  2 Rh 2.14, 1 Zr 2.15
O  0.2606  0.5212  0.6986  2 Rh 2.14, 1 Zr 2.15
K  0.8880  0.7760  0.1380  4 O 2.39-2.47
K  0.1120  0.2240  0.8620  4 O 2.39-2.47
Zr  0.5000  0.0000  0.5000  6 O 2.14-2.15
Zr  0.5000  0.0000  0.0000  6 O 2.14-2.15
Rh  0.5000  0.5000  0.5000  6 O 2.14-2.15
Rh  0.0000  0.5000  0.5000  6 O 2.14-2.15

---

(6)
The following is a DFT calculation (PBE-GGA) of an optimized crystal structure of K3ZrRh3O8.

## Properties
SG   No. 166
Raw formation energy   -1.459 eV per atom

a b c (Å): 6.3089 6.3094 7.1803
angles (deg): 116.08 90.00 120.00
With the nearest neighbours (Å) after each atom.
Sites, in units of the cell vectors:
O  0.7720  0.5440  0.3204  2 Rh 2.13, 1 Zr 2.15
O  0.2280  0.9516  0.6795  2 Rh 2.13, 1 Zr 2.15
O  0.7236  0.9516  0.6795  2 Rh 2.13, 1 Zr 2.15
O  0.2280  0.4560  0.6796  2 Rh 2.13, 1 Zr 2.15
O  0.2788  0.5575  0.3364  3 Rh 2.08
O  0.7212  0.4425  0.6636  3 Rh 2.08
O  0.2764  0.0484  0.3205  2 Rh 2.13, 1 Zr 2.15
O  0.7720  0.0484  0.3205  2 Rh 2.13, 1 Zr 2.15
K  0.0000  0.0000  0.0000  6 O 2.70-2.77
K  0.5000  0.5000  0.0000  6 O 2.70-2.77
K  0.0000  0.5000  0.0000  6 O 2.70-2.77
Rh  0.5000  0.5000  0.5000  6 O 2.08-2.13
Rh  0.0000  0.5000  0.5000  6 O 2.08-2.13
Rh  0.5000  0.0000  0.5000  6 O 2.08-2.13
Zr  0.0000  0.0000  0.5000  6 O 2.15

---

(7)
The following is a DFT calculation (PBE-GGA) of an optimized crystal structure of KRu2O6.

## Properties
Fermi-level density of states   0.528 states/eV/atom
ΔE to the lowest computed polymorph   33 meV/atom
SG   No. 227
Raw formation energy   -1.022 eV per atom

a b c (Å): 7.1942 7.1942 7.1942
angles (deg): 60.00 60.00 60.00
With the nearest neighbours (Å) after each atom.
Sites, in units of the cell vectors:
O  0.1918  0.1918  0.8082  2 Ru 1.92
O  0.4418  0.0582  0.4418  2 Ru 1.92
O  0.1918  0.8082  0.8082  2 Ru 1.92
O  0.8082  0.1918  0.8082  2 Ru 1.92
O  0.0582  0.0582  0.4418  2 Ru 1.92
O  0.4418  0.0582  0.0582  2 Ru 1.92
O  0.8082  0.8082  0.1918  2 Ru 1.92
O  0.4418  0.4418  0.0582  2 Ru 1.92
O  0.1918  0.8082  0.1918  2 Ru 1.92
O  0.0582  0.4418  0.0582  2 Ru 1.92
O  0.0582  0.4418  0.4418  2 Ru 1.92
O  0.8082  0.1918  0.1918  2 Ru 1.92
K  0.7500  0.7500  0.7500  6 O 3.14
K  0.5000  0.5000  0.5000  6 O 3.14
Ru  0.1250  0.1250  0.1250  6 O 1.92
Ru  0.1250  0.1250  0.6250  6 O 1.92
Ru  0.6250  0.1250  0.1250  6 O 1.92
Ru  0.1250  0.6250  0.1250  6 O 1.92

---

(8)
The following is a DFT calculation (PBE-GGA) of an optimized crystal structure of KRu2O.

## Properties
Fermi-level density of states   4.075 states/eV/atom
SG   No. 141
Raw formation energy   0.432 eV per atom

a b c (Å): 6.2575 6.2575 6.2633
angles (deg): 60.03 60.03 90.00
With the nearest neighbours (Å) after each atom.
Sites, in units of the cell vectors:
K  0.7500  0.2500  0.5000  12 Ru 3.67, 4 O 3.83, 4 K 3.83
K  0.0000  0.0000  0.0000  12 Ru 3.67, 4 O 3.83, 4 K 3.83
Ru  0.8750  0.6254  0.7500  2 O 1.92
Ru  0.3754  0.1250  0.2500  2 O 1.92
Ru  0.3750  0.6246  0.7500  2 O 1.92
Ru  0.3746  0.6250  0.2500  2 O 1.92
O  0.5000  0.5000  0.0000  4 Ru 1.92
O  0.2500  0.7500  0.5000  4 Ru 1.92

---

(9)
The following is a DFT calculation (PBE-GGA) of an optimized crystal structure of KRu2O6.

## Properties
Fermi-level density of states   0.515 states/eV/atom
ΔE to the lowest computed polymorph   0 meV/atom
SG   No. 162
Raw formation energy   -1.055 eV per atom

a b c (Å): 5.8118 5.3172 5.3172
angles (deg): 120.00 90.00 90.00
With the nearest neighbours (Å) after each atom.
Sites, in units of the cell vectors:
O  0.3214  0.6065  0.0000  2 Ru 1.94
O  0.3214  0.3935  0.3935  2 Ru 1.94
O  0.3214  0.0000  0.6065  2 Ru 1.94
O  0.6786  0.6065  0.6065  2 Ru 1.94
O  0.6786  0.0000  0.3935  2 Ru 1.94
O  0.6786  0.3935  0.0000  2 Ru 1.94
Ru  0.5000  0.6667  0.3333  6 O 1.94
Ru  0.5000  0.3333  0.6667  6 O 1.94
K  0.0000  0.0000  0.0000  6 O 2.80

---

(10)
The following is a DFT calculation (PBE-GGA) of an optimized crystal structure of KRu2O8.

## Properties
Fermi-level density of states   0.896 states/eV/atom
ΔE to the lowest computed polymorph   587 meV/atom
SG   No. 123
Raw formation energy   -0.292 eV per atom

a b c (Å): 4.6955 4.6955 6.9083
angles (deg): 90.00 90.00 90.00
With the nearest neighbours (Å) after each atom.
Sites, in units of the cell vectors:
Ru  0.5000  0.0000  0.0000  8 O 2.04
Ru  0.0000  0.5000  0.0000  8 O 2.04
O  0.2497  0.2497  0.8293  2 Ru 2.04
O  0.7503  0.2497  0.1707  2 Ru 2.04
O  0.7503  0.7503  0.8293  2 Ru 2.04
O  0.7503  0.7503  0.1707  2 Ru 2.04
O  0.7503  0.2497  0.8293  2 Ru 2.04
O  0.2497  0.2497  0.1707  2 Ru 2.04
O  0.2497  0.7503  0.1707  2 Ru 2.04
O  0.2497  0.7503  0.8293  2 Ru 2.04
K  0.5000  0.5000  0.5000  8 O 2.82

---

(11)
The following is a DFT calculation (PBE-GGA) of an optimized crystal structure of KRuO3.

## Properties
Fermi-level density of states   0.814 states/eV/atom
SG   No. 221
Raw formation energy   -1.108 eV per atom

a b c (Å): 3.8930 3.8930 3.8930
angles (deg): 90.00 90.00 90.00
With the nearest neighbours (Å) after each atom.
Sites, in units of the cell vectors:
O  0.0000  0.5000  0.0000  2 Ru 1.95
O  0.0000  0.0000  0.5000  2 Ru 1.95
O  0.5000  0.0000  0.0000  2 Ru 1.95
Ru  0.0000  0.0000  0.0000  6 O 1.95
K  0.5000  0.5000  0.5000  12 O 2.75

---

(12)
The following is a DFT calculation (PBE-GGA) of an optimized crystal structure of K2RuO6.

## Properties
Fermi-level density of states   0.499 states/eV/atom
SG   No. 12
Raw formation energy   -0.588 eV per atom

a b c (Å): 3.6430 6.6128 6.5157
angles (deg): 120.49 91.98 90.00
With the nearest neighbours (Å) after each atom.
Sites, in units of the cell vectors:
O  0.5000  0.1908  0.0000  2 O 1.83
O  0.1568  0.9135  0.2296  1 O 1.83, 1 Ru 1.92
O  0.8432  0.0865  0.7704  1 O 1.83, 1 Ru 1.92
O  0.1568  0.3161  0.2296  1 O 1.83, 1 Ru 1.92
O  0.5000  0.8092  0.0000  2 O 1.83
O  0.8432  0.6839  0.7704  1 O 1.83, 1 Ru 1.92
K  0.6650  0.6739  0.3479  8 O 2.77-2.87
K  0.3350  0.3261  0.6521  8 O 2.77-2.87
Ru  0.0000  0.0000  0.0000  4 O 1.92